1) Density functional theory data (PBE with a Hubbard U) for an optimized crystal structure of CoGePO.

- Space-group type: Pmc2_1, No. 26

Lattice parameters (Å, degrees): 3.604 5.945 5.788 90.00 90.00 90.00
Element x y z (fractional)
Co  0.000  0.144  0.000
Co  0.000  0.856  0.500
Ge  0.500  0.299  0.441
Ge  0.500  0.701  0.941
P  0.500  0.312  0.850
P  0.500  0.688  0.350
O  0.000  0.182  0.362
O  0.000  0.818  0.862

***

2) Density functional theory data (PBE with a Hubbard U) for an optimized crystal structure of CoGePO.

- Space-group type: P4/nmm, No. 129

Lattice parameters (Å, degrees): 3.560 3.560 9.357 90.00 90.00 90.00
Element x y z (fractional)
Co  0.250  0.750  0.000
Co  0.750  0.250  0.000
Ge  0.250  0.250  0.386
Ge  0.750  0.750  0.614
P  0.250  0.250  0.870
P  0.750  0.750  0.130
O  0.250  0.750  0.500
O  0.750  0.250  0.500

***

3) Density functional theory data (PBE with a Hubbard U) for an optimized crystal structure of CoGePO.

- Space-group type: Pmc2_1, No. 26

Lattice parameters (Å, degrees): 3.635 6.239 5.531 90.00 90.00 90.00
Element x y z (fractional)
Co  0.000  0.189  0.000
Co  0.000  0.811  0.500
Ge  0.500  0.353  0.554
Ge  0.500  0.647  0.054
P  0.000  0.166  0.411
P  0.000  0.834  0.911
O  0.500  0.372  0.903
O  0.500  0.628  0.403

***

The data favor 2); the next most stable structure lies 0.098 eV/atom above it.

***

1) Density functional theory data (PBE with a Hubbard U) for an optimized crystal structure of CoGePO.

- Space-group type: P4/nmm, No. 129

Lattice parameters (Å, degrees): 4.123 4.123 8.045 90.00 90.00 90.00
Element x y z (fractional)
Co  0.250  0.250  0.044
Co  0.750  0.750  0.956
Ge  0.250  0.750  0.500
Ge  0.750  0.250  0.500
P  0.250  0.250  0.340
P  0.750  0.750  0.660
O  0.250  0.750  0.000
O  0.750  0.250  0.000

***

2) Density functional theory data (PBE with a Hubbard U) for an optimized crystal structure of CoGePO.

- Space-group type: P4/nmm, No. 129

Lattice parameters (Å, degrees): 3.579 3.579 9.111 90.00 90.00 90.00
Element x y z (fractional)
Co  0.250  0.750  0.000
Co  0.750  0.250  0.000
Ge  0.250  0.250  0.384
Ge  0.750  0.750  0.616
P  0.250  0.250  0.868
P  0.750  0.750  0.132
O  0.250  0.750  0.500
O  0.750  0.250  0.500

***

The data favor 2); the next most stable structure lies 0.210 eV/atom above it.